Entry 1:
## KPtSe3 (GGA-PBE)

Data for an optimized crystal structure of KPtSe3.

The structure in POSCAR format:
```
KPtSe3
1.0
5.5108 0.0000 0.0000
0.0000 5.5108 0.0000
0.0000 0.0000 5.5108
K Pt Se
1 1 3
Cartesian
0.0000 0.0000 0.0000
2.7554 2.7554 2.7554
0.0000 0.0000 2.7554
0.0000 2.7554 0.0000
2.7554 0.0000 0.0000
```

Computed properties:
SG: Pm-3m (221)
Offset from the most stable computed form in eV/f.u.: 8.86

Entry 2:
## LiNp3S6 (GGA-PBE)

Data for an optimized crystal structure of LiNp3S6.

The structure in POSCAR format:
```
LiNp3S6
1.0
5.2462 -6.4143 0.0000
5.2462 6.4143 0.0000
0.0000 0.0000 6.5568
Li Np S
2 6 12
Cartesian
5.2462 4.0226 3.2784
5.2462 -4.0226 0.0000
1.8954 1.3250 3.0888
1.8954 -1.3250 6.3672
5.2462 1.3486 5.7355
5.2462 -1.3486 2.4571
8.5971 1.3250 3.0888
8.5971 -1.3250 6.3672
5.2462 6.1319 4.6291
3.4315 2.9780 4.5737
5.2462 3.4783 0.8630
3.5497 0.4087 1.1254
3.5497 -0.4087 4.4038
7.0610 2.9780 4.5737
3.4315 -2.9780 1.2953
6.9428 0.4087 1.1254
6.9428 -0.4087 4.4038
5.2462 -3.4783 4.1413
7.0610 -2.9780 1.2953
5.2462 -6.1319 1.3507
```

Computed properties:
SG: Cmc2_1 (36)

What did we get for uncorrected formation energy? Answer: 784 -1311 kJ/mol of formula units, in the order shown.